First-principles (GGA-PBE) data for crystalline KAg2Ir2 at its relaxed geometry, as listed in Alexandria.

The structure in POSCAR format:
```
KAg2Ir2
1.0
4.664 0.000 0.000
0.000 4.664 0.000
0.000 0.000 10.190
K Ag Ir
2 4 4
Direct
0.000 0.000 0.000 K
0.500 0.500 0.500 K
0.000 0.500 0.250 Ag
0.000 0.500 0.750 Ag
0.500 0.000 0.250 Ag
0.500 0.000 0.750 Ag
0.000 0.000 0.387 Ir
0.000 0.000 0.613 Ir
0.500 0.500 0.113 Ir
0.500 0.500 0.887 Ir
```

DOS at the Fermi energy, states/eV per atom: 1.639
Energy relative to the elements, eV/atom: 0.733
Electronic total energy, eV for the cell shown: -41.71
SG: I4/mmm
Excess energy over the best structure of this formula in the dataset, eV/f.u.: 1.25

---

First-principles (GGA-PBE) data for crystalline KAgIr2 at its relaxed geometry, as listed in Alexandria.

The structure in POSCAR format:
```
KAgIr2
1.0
3.878 0.000 0.000
0.000 3.878 0.000
0.000 0.000 10.030
K Ag Ir
2 2 4
Direct
0.000 0.000 0.000 K
0.500 0.500 0.500 K
0.000 0.000 0.500 Ag
0.500 0.500 0.000 Ag
0.000 0.500 0.250 Ir
0.000 0.500 0.750 Ir
0.500 0.000 0.250 Ir
0.500 0.000 0.750 Ir
```

DOS at the Fermi energy, states/eV per atom: 1.288
Energy relative to the elements, eV/atom: 1.032
Electronic total energy, eV for the cell shown: -35.08
SG: I4/mmm
Excess energy over the best structure of this formula in the dataset, eV/f.u.: 2.60

---

First-principles (GGA-PBE) data for crystalline KAg2Ir2 at its relaxed geometry, as listed in Alexandria.

The structure in POSCAR format:
```
KAg2Ir2
1.0
8.484 0.000 0.000
0.000 8.484 0.000
0.000 0.000 2.696
K Ag Ir
2 4 4
Direct
0.000 0.000 0.000 K
0.500 0.500 0.000 K
0.187 0.313 0.500 Ag
0.313 0.813 0.500 Ag
0.687 0.187 0.500 Ag
0.813 0.687 0.500 Ag
0.107 0.607 0.000 Ir
0.393 0.107 0.000 Ir
0.607 0.893 0.000 Ir
0.893 0.393 0.000 Ir
```

DOS at the Fermi energy, states/eV per atom: 1.072
Energy relative to the elements, eV/atom: 0.484
Electronic total energy, eV for the cell shown: -44.20
SG: P4/mbm
Excess energy over the best structure of this formula in the dataset, eV/f.u.: 0.00

---

First-principles (GGA-PBE) data for crystalline KAgIr2 at its relaxed geometry, as listed in Alexandria.

The structure in POSCAR format:
```
KAgIr2
1.0
2.847 0.000 0.000
0.000 2.847 0.000
0.000 0.000 9.452
K Ag Ir
1 1 2
Direct
0.000 0.000 0.000 K
0.500 0.500 0.313 Ag
0.000 0.000 0.537 Ir
0.500 0.500 0.715 Ir
```

DOS at the Fermi energy, states/eV per atom: 0.578
Energy relative to the elements, eV/atom: 0.437
Electronic total energy, eV for the cell shown: -19.92
SG: P4mm
Excess energy over the best structure of this formula in the dataset, eV/f.u.: 0.22

---

First-principles (GGA-PBE) data for crystalline KAgIr2 at its relaxed geometry, as listed in Alexandria.

The structure in POSCAR format:
```
KAgIr2
1.0
2.801 0.000 0.000
0.000 3.899 0.000
-0.052 0.000 7.914
K Ag Ir
1 1 2
Direct
0.000 0.000 0.000 K
0.492 0.500 0.327 Ag
0.499 0.500 0.679 Ir
0.996 0.000 0.565 Ir
```

DOS at the Fermi energy, states/eV per atom: 0.904
Energy relative to the elements, eV/atom: 0.381
Electronic total energy, eV for the cell shown: -20.15
SG: Pm
Excess energy over the best structure of this formula in the dataset, eV/f.u.: 0.00

---

First-principles (GGA-PBE) data for crystalline KAgIr at its relaxed geometry, as listed in Alexandria.

The structure in POSCAR format:
```
KAgIr
1.0
2.879 0.000 0.000
-1.439 2.493 0.000
0.000 0.000 8.141
K Ag Ir
1 1 1
Direct
0.000 0.000 0.000 K
0.333 0.667 0.371 Ag
0.667 0.333 0.666 Ir
```

DOS at the Fermi energy, states/eV per atom: 0.958
Energy relative to the elements, eV/atom: 0.682
Electronic total energy, eV for the cell shown: -10.76
SG: P3m1
Excess energy over the best structure of this formula in the dataset, eV/f.u.: 0.51